Entry 1:
Compound: ZnBiB2
Source: the Alexandria database
Functional: GGA-PBE
Structure: relaxed

The structure in extended XYZ format:
```
8
Lattice="-2.1268 2.1268 7.0070 2.1268 -2.1268 7.0070 2.1268 2.1268 -7.0070" Properties=species:S:1:pos:R:3 pbc="T T T"
Zn 0.0000 0.0000 0.0000
Zn 0.0000 2.1268 3.5035
Bi 2.1268 0.0000 3.5035
Bi 0.0000 0.0000 7.0070
B 0.3870 1.0634 1.7518
B -1.0634 1.7398 5.2553
B -0.3870 3.1902 1.7518
B 1.0634 2.5138 5.2553
```

Results
Symmetry: I-42d
Calculated total energy: -3.59 eV per atom
Total moment: 0.00 μB/atom
Energy of formation from the pure elements: 1.036 eV/atom

Entry 2:
Compound: CeZrHgPb
Source: the Alexandria database
Functional: GGA-PBE
Structure: relaxed

The structure in extended XYZ format:
```
4
Lattice="0.0000 3.7310 3.7310 3.7310 0.0000 3.7310 3.7310 3.7310 0.0000" Properties=species:S:1:pos:R:3 pbc="T T T"
Ce 0.0000 0.0000 0.0000
Zr 3.7310 3.7310 3.7310
Hg 5.5965 5.5965 5.5965
Pb 1.8655 1.8655 1.8655
```

Results
Symmetry: F-43m
Calculated total energy: -4.80 eV per atom
Total moment: 0.56 μB/atom
Energy of formation from the pure elements: -0.180 eV/atom